i) DFT (SCAN) results for LiTlAg at its PBEsol-relaxed geometry.

Cell: 5.1625 5.1625 5.1625 Å, 140.47 140.47 57.14°
Last column: nearest neighbours and their distance in Å.
Element x y z (fractional)
Li1 0.0000 0.0000 0.0000  4 Ag 2.80, 5 Tl 2.93-2.96
Tl1 0.6734 0.6734 0.0000  5 Ag 2.90-2.96, 5 Li 2.93-2.96
Ag1 0.3535 0.3535 0.0000  4 Li 2.80, 5 Tl 2.90-2.96

Properties
space-group type = I4mm
N(E_F) = 0.8 states/eV/cell
calculated volume = 55 Å³ per cell

---

ii) DFT (SCAN) results for LiTlAg at its PBEsol-relaxed geometry.

Cell: 4.6822 4.6822 3.0055 Å, 90.00 90.00 120.00°
Last column: nearest neighbours and their distance in Å.
Element x y z (fractional)
Li1 0.0000 0.0000 0.0000  3 Ag 2.88, 3 Tl 2.90, 2 Li 3.01
Tl1 0.3333 0.6667 0.6494  3 Ag 2.87, 3 Li 2.90, 2 Tl 3.01
Ag1 0.6667 0.3333 0.3264  3 Tl 2.87, 3 Li 2.88, 2 Ag 3.01

Properties
space-group type = P3m1
N(E_F) = 1.2 states/eV/cell
calculated volume = 57 Å³ per cell

---

Energies, relative to the best one, in meV per atom: i) 0; ii) 60.

---

i) DFT (SCAN) results for Li2AgW at its PBEsol-relaxed geometry.

Cell: 4.9737 4.9737 4.9737 Å, 134.17 134.17 66.82°
Last column: nearest neighbours and their distance in Å.
Element x y z (fractional)
Li1 0.2500 0.7500 0.5000  4 Li 2.74, 4 W 2.84, 4 Ag 2.84
Li2 0.7500 0.2500 0.5000  4 Li 2.74, 4 W 2.84, 4 Ag 2.84
Ag1 0.0000 0.0000 0.0000  4 W 2.74, 8 Li 2.84
W1 0.5000 0.5000 0.0000  4 Ag 2.74, 8 Li 2.84

Properties
space-group type = I4/mmm
N(E_F) = 2.2 states/eV/cell
calculated volume = 62 Å³ per cell

---

ii) DFT (SCAN) results for Li2AgW at its PBEsol-relaxed geometry.

Cell: 4.7159 4.7159 2.5909 Å, 90.00 90.00 90.00°
Last column: nearest neighbours and their distance in Å.
Element x y z (fractional)
Li1 0.0000 0.5000 0.0000  2 Li 2.59, 4 W 2.69, 4 Ag 2.69
Li2 0.5000 0.0000 0.0000  2 Li 2.59, 4 W 2.69, 4 Ag 2.69
Ag1 0.0000 0.0000 0.5000  2 Ag 2.59, 8 Li 2.69
W1 0.5000 0.5000 0.5000  2 W 2.59, 8 Li 2.69

Properties
space-group type = P4/mmm
N(E_F) = 2.6 states/eV/cell
calculated volume = 58 Å³ per cell

---

Energies, relative to the best one, in meV per atom: i) 215; ii) 0.